No. 1
# CdGeP2

Crystalline CdGeP2 at its relaxed geometry (PBE-GGA, the Alexandria database). Values from VASP.

Output
symmetry: I-42d
formation enthalpy at 0 K: -0.10 eV per atom
total energy: -66.9 eV/cell

The structure in Quantum ESPRESSO input format:
```
&SYSTEM
  ibrav = 0, nat = 16, ntyp = 3
/
ATOMIC_SPECIES
Cd 112.41 Cd.upf
Ge 72.64 Ge.upf
P 30.97 P.upf
CELL_PARAMETERS angstrom
5.8043 0.0000 0.0000
0.0000 5.8043 0.0000
0.0000 0.0000 10.9481
ATOMIC_POSITIONS crystal
Cd 0.0000 0.0000 0.0000
Cd 0.0000 0.5000 0.2500
Cd 0.5000 0.0000 0.7500
Cd 0.5000 0.5000 0.5000
Ge 0.0000 0.0000 0.5000
Ge 0.0000 0.5000 0.7500
Ge 0.5000 0.0000 0.2500
Ge 0.5000 0.5000 0.0000
P 0.2175 0.2500 0.6250
P 0.2500 0.7175 0.8750
P 0.2500 0.7825 0.3750
P 0.2825 0.2500 0.1250
P 0.7175 0.7500 0.1250
P 0.7500 0.2175 0.3750
P 0.7500 0.2825 0.8750
P 0.7825 0.7500 0.6250
```

=====

No. 2
# Ta2B2Pb

Crystalline Ta2B2Pb at its relaxed geometry (PBE-GGA, the Alexandria database). Values from VASP.

Output
symmetry: P4/mbm
formation enthalpy at 0 K: 0.35 eV per atom
total energy: -78.0 eV/cell

The structure in Quantum ESPRESSO input format:
```
&SYSTEM
  ibrav = 0, nat = 10, ntyp = 3
/
ATOMIC_SPECIES
Ta 180.95 Ta.upf
B 10.81 B.upf
Pb 207.20 Pb.upf
CELL_PARAMETERS angstrom
6.4953 0.0000 0.0000
0.0000 6.4953 0.0000
0.0000 0.0000 3.4205
ATOMIC_POSITIONS crystal
Ta 0.1583 0.3417 0.0000
Ta 0.3417 0.8417 0.0000
Ta 0.6583 0.1583 0.0000
Ta 0.8417 0.6583 0.0000
B 0.0930 0.5930 0.5000
B 0.4070 0.0930 0.5000
B 0.5930 0.9070 0.5000
B 0.9070 0.4070 0.5000
Pb 0.0000 0.0000 0.5000
Pb 0.5000 0.5000 0.5000
```

=====

No. 3
# KSrZn4

Crystalline KSrZn4 at its relaxed geometry (PBE-GGA, the Alexandria database). Values from VASP.

Output
symmetry: F-43m
formation enthalpy at 0 K: -0.01 eV per atom
total energy: -7.9 eV/cell

The structure in Quantum ESPRESSO input format:
```
&SYSTEM
  ibrav = 0, nat = 6, ntyp = 3
/
ATOMIC_SPECIES
K 39.10 K.upf
Sr 87.62 Sr.upf
Zn 65.41 Zn.upf
CELL_PARAMETERS angstrom
0.0000 4.1448 4.1448
4.1448 0.0000 4.1448
4.1448 4.1448 0.0000
ATOMIC_POSITIONS crystal
K 0.0000 0.0000 0.0000
Sr 0.7500 0.7500 0.7500
Zn 0.3748 0.3748 0.3748
Zn 0.3748 0.3748 0.8756
Zn 0.3748 0.8756 0.3748
Zn 0.8756 0.3748 0.3748
```

=====

No. 4
# BaNaAlCl6

Crystalline BaNaAlCl6 at its relaxed geometry (PBE-GGA, the Alexandria database). Values from VASP.

Output
symmetry: P312
raw formation energy: -1.886 eV/atom
total energy: -35.0 eV/cell

The structure in Quantum ESPRESSO input format:
```
&SYSTEM
  ibrav = 0, nat = 9, ntyp = 4
/
ATOMIC_SPECIES
Ba 137.33 Ba.upf
Na 22.99 Na.upf
Al 26.98 Al.upf
Cl 35.45 Cl.upf
CELL_PARAMETERS angstrom
6.8284 0.0000 0.0000
-3.4142 5.9136 0.0000
0.0000 0.0000 6.4158
ATOMIC_POSITIONS crystal
Ba 0.0000 0.0000 0.0000
Na 0.3333 0.6667 0.5000
Al 0.6667 0.3333 0.5000
Cl 0.3904 0.0470 0.7129
Cl 0.3904 0.3434 0.2871
Cl 0.6566 0.0470 0.2871
Cl 0.6566 0.6096 0.7129
Cl 0.9530 0.3434 0.7129
Cl 0.9530 0.6096 0.2871
```